# HPdCl2 | Alexandria via LeMat-Bulk | PBE | relaxed
# Total magnetization ... 1.0 μB per formula unit
# ΔE to the lowest computed polymorph ... 297 meV/atom
# Crystal system ... tetragonal
data_HPdCl2
_chemical_formula_sum 'H4 Pd4 Cl8'
_space_group_name_H-M_alt 'I -4 2 d'
_space_group_IT_number 122
_space_group_name_Hall 'I -4 2bw'
_cell_length_a 5.392
_cell_length_b 5.392
_cell_length_c 9.068
_cell_angle_alpha 90.00
_cell_angle_beta 90.00
_cell_angle_gamma 90.00
loop_
_atom_site_label
_atom_site_fract_x
_atom_site_fract_y
_atom_site_fract_z
H1 0.000 0.000 0.000
Pd1 0.000 0.000 0.500
Cl1 0.174 0.250 0.125

---

# RbTl4Cd2 | Alexandria via LeMat-Bulk | PBE | relaxed
# Total magnetization ... 0.0 μB per formula unit
# Calculated formation energy ... -0.05 eV/atom
# ΔE to the lowest computed polymorph ... 0 meV/atom
# Crystal system ... orthorhombic
data_RbTl4Cd2
_chemical_formula_sum 'Rb2 Tl8 Cd4'
_space_group_name_H-M_alt 'C m m m'
_space_group_IT_number 65
_space_group_name_Hall '-C 2 2'
_cell_length_a 5.239
_cell_length_b 17.114
_cell_length_c 5.158
_cell_angle_alpha 90.00
_cell_angle_beta 90.00
_cell_angle_gamma 90.00
loop_
_atom_site_label
_atom_site_fract_x
_atom_site_fract_y
_atom_site_fract_z
Rb1 0.000 0.000 0.000
Tl1 0.000 0.183 0.500
Tl2 0.000 0.311 0.000
Cd1 0.000 0.416 0.500

---

> Which of these has the highest total magnetization?

HPdCl2